Record 1
DFT (PBE) results for a relaxed Cs2K5Na2Cd crystal.

a b c (Å): 16.2939 16.2939 4.8647
angles (deg): 90.00 90.00 90.00
Space group P4/mbm (No. 127)
Inequivalent atoms, fractional coordinates:
Cs 0.1767 0.3233 0.0000 [4 per cell]
K 0.0000 0.5000 0.5000 [2 per cell]
K 0.0513 0.8213 0.5000 [8 per cell]
Na 0.1341 0.6341 0.0000 [4 per cell]
Cd 0.0000 0.0000 0.0000 [2 per cell]

Output
D(E_F)	0.7931	states/eV per atom

***

Record 2
DFT (PBE) results for a relaxed CsK2NaCd crystal.

a b c (Å): 6.9469 6.9469 6.4380
angles (deg): 90.00 90.00 90.00
Space group P4/mmm (No. 123)
Inequivalent atoms, fractional coordinates:
Cs 0.0000 0.0000 0.0000 [1 per cell]
K 0.0000 0.5000 0.5000 [2 per cell]
Na 0.5000 0.5000 0.0000 [1 per cell]
Cd 0.5000 0.5000 0.5000 [1 per cell]

Output
D(E_F)	0.9263	states/eV per atom
energy above the lowest structure with this stoichiometry	0.0	meV per atom

***

Record 3
DFT (PBE) results for a relaxed CsK6CdO crystal.

a b c (Å): 8.1054 14.0424 11.0760
angles (deg): 90.00 90.04 90.00
Space group C2 (No. 5)
Inequivalent atoms, fractional coordinates:
Cs 0.0000 0.0000 0.0000 [2 per cell]
K 0.1119 0.8058 0.3576 [4 per cell]
K 0.1521 0.5411 0.3575 [4 per cell]
K 0.2350 0.1537 0.3577 [4 per cell]
Cd 0.0000 0.3337 0.5000 [2 per cell]
O 0.0000 0.6669 0.5000 [2 per cell]

Output
D(E_F)	0.6172	states/eV per atom

***

Record 4
DFT (PBE) results for a relaxed Cs2KCdO crystal.

a b c (Å): 6.1358 6.1358 5.4171
angles (deg): 90.00 90.00 90.00
Space group P4/mmm (No. 123)
Inequivalent atoms, fractional coordinates:
Cs 0.0000 0.5000 0.0000 [2 per cell]
K 0.0000 0.0000 0.5000 [1 per cell]
Cd 0.5000 0.5000 0.5000 [1 per cell]
O 0.0000 0.0000 0.0000 [1 per cell]

Output
D(E_F)	0.8578	states/eV per atom

***

Record 5
DFT (PBE) results for a relaxed Cs2K2Cd3O5 crystal.

a b c (Å): 6.7147 9.4160 9.6143
angles (deg): 65.35 73.55 71.41
Space group P-1 (No. 2)
Inequivalent atoms, fractional coordinates:
Cs 0.0502 0.0756 0.1483 [2 per cell]
Cs 0.3910 0.2088 0.7455 [2 per cell]
K 0.0532 0.4539 0.1933 [2 per cell]
K 0.2405 0.0719 0.4734 [2 per cell]
Cd 0.1267 0.6396 0.4070 [2 per cell]
Cd 0.4037 0.6830 0.9951 [2 per cell]
Cd 0.4310 0.6696 0.6717 [2 per cell]
O 0.1113 0.7534 0.1538 [2 per cell]
O 0.1877 0.7805 0.5165 [2 per cell]
O 0.2317 0.3767 0.4591 [2 per cell]
O 0.3183 0.4963 0.9071 [2 per cell]
O 0.4255 0.8672 0.7572 [2 per cell]

***

Record 6
DFT (PBE) results for a relaxed CsK2CdP crystal.

a b c (Å): 6.4539 6.4539 5.3835
angles (deg): 90.00 90.00 90.00
Space group P4/mmm (No. 123)
Inequivalent atoms, fractional coordinates:
Cs 0.0000 0.0000 0.0000 [1 per cell]
K 0.0000 0.5000 0.5000 [2 per cell]
Cd 0.5000 0.5000 0.0000 [1 per cell]
P 0.5000 0.5000 0.5000 [1 per cell]

Output
D(E_F)	0.5104	states/eV per atom

***

Record 7
DFT (PBE) results for a relaxed Cs2KCdP2 crystal.

a b c (Å): 7.6923 15.9669 7.0054
angles (deg): 90.00 90.00 90.00
Space group Ibam (No. 72)
Inequivalent atoms, fractional coordinates:
Cs 0.2291 0.1764 0.0000 [8 per cell]
K 0.0000 0.5000 0.2500 [4 per cell]
Cd 0.0000 0.0000 0.2500 [4 per cell]
P 0.1935 0.0895 0.5000 [8 per cell]

Output
D(E_F)	1.0197	states/eV per atom

***

Record 8
DFT (PBE) results for a relaxed CsKCd2P2 crystal.

a b c (Å): 4.4526 4.4526 10.8668
angles (deg): 90.00 90.00 120.00
Space group P-3m1 (No. 164)
Inequivalent atoms, fractional coordinates:
Cs 0.0000 0.0000 0.0000 [1 per cell]
K 0.0000 0.0000 0.5000 [1 per cell]
Cd 0.3333 0.6667 0.7300 [2 per cell]
P 0.3333 0.6667 0.2669 [2 per cell]

Output
D(E_F)	0.0317	states/eV per atom

***

Record 9
DFT (PBE) results for a relaxed CsKCdPb crystal.

a b c (Å): 9.3404 5.3845 8.1565
angles (deg): 90.00 112.43 90.00
Space group Cm (No. 8)
Inequivalent atoms, fractional coordinates:
Cs 0.0000 0.0000 0.0000 [2 per cell]
K 0.3073 0.5000 0.4212 [2 per cell]
Cd 0.0542 0.5000 0.6621 [2 per cell]
Pb 0.2218 0.0000 0.6653 [2 per cell]

Output
D(E_F)	0.3248	states/eV per atom
energy above the lowest structure with this stoichiometry	0.0	meV per atom

***

Record 10
DFT (PBE) results for a relaxed CsK2CdPb crystal.

a b c (Å): 7.0205 7.0205 5.7974
angles (deg): 90.00 90.00 90.00
Space group P4/mmm (No. 123)
Inequivalent atoms, fractional coordinates:
Cs 0.0000 0.0000 0.0000 [1 per cell]
K 0.0000 0.5000 0.5000 [2 per cell]
Cd 0.5000 0.5000 0.0000 [1 per cell]
Pb 0.5000 0.5000 0.5000 [1 per cell]

Output
D(E_F)	0.5323	states/eV per atom
energy above the lowest structure with this stoichiometry	0.0	meV per atom

***

Record 11
DFT (PBE) results for a relaxed CsKCdPb crystal.

a b c (Å): 8.4350 8.4350 8.4350
angles (deg): 90.00 90.00 90.00
Space group F-43m (No. 216)
Inequivalent atoms, fractional coordinates:
Cs 0.0000 0.0000 0.0000 [4 per cell]
K 0.2500 0.2500 0.2500 [4 per cell]
Cd 0.2500 0.2500 0.7500 [4 per cell]
Pb 0.0000 0.0000 0.5000 [4 per cell]

Output
D(E_F)	0.2858	states/eV per atom
energy above the lowest structure with this stoichiometry	101.8	meV per atom

***

Record 12
DFT (PBE) results for a relaxed Cs2KCdPb crystal.

a b c (Å): 7.4889 7.4889 5.6179
angles (deg): 90.00 90.00 90.00
Space group P4/mmm (No. 123)
Inequivalent atoms, fractional coordinates:
Cs 0.0000 0.5000 0.0000 [2 per cell]
K 0.0000 0.0000 0.5000 [1 per cell]
Cd 0.5000 0.5000 0.0000 [1 per cell]
Pb 0.5000 0.5000 0.5000 [1 per cell]

Output
D(E_F)	0.5942	states/eV per atom
energy above the lowest structure with this stoichiometry	0.0	meV per atom

***

| no. | total DFT energy (no corrections) (eV/atom) |
| --- | --- |
| 1 | -1.051 |
| 2 | -1.024 |
| 3 | -1.749 |
| 4 | -2.237 |
| 5 | -3.739 |
| 6 | -1.924 |
| 7 | -2.640 |
| 8 | -2.771 |
| 9 | -1.778 |
| 10 | -1.540 |
| 11 | -1.676 |
| 12 | -1.437 |